LaTb3Nd2 | PBE-GGA | optimized geometry

Geometry as POSCAR:
```
LaTb3Nd2
1.0
4.548 -4.997 0.000
4.548 4.997 0.000
-1.826 0.000 8.930
La Tb Nd
2 6 4
Direct
0.086 0.914 0.750
0.914 0.086 0.250
0.165 0.334 0.000
0.334 0.165 0.500
0.420 0.580 0.750
0.580 0.420 0.250
0.666 0.835 0.500
0.835 0.666 0.000
0.132 0.623 0.374
0.377 0.868 0.126
0.623 0.132 0.874
0.868 0.377 0.626
```

## Properties
**Total DFT energy (no corrections)**: -4.66 eV per atom
**SG**: C2/c

La2Tb12Nd | PBE-GGA | optimized geometry

Geometry as POSCAR:
```
La2Tb12Nd
1.0
3.562 -5.717 0.000
3.562 5.717 0.000
0.000 0.000 25.030
La Tb Nd
4 24 2
Direct
0.250 0.750 0.231
0.250 0.750 0.770
0.750 0.250 0.230
0.750 0.250 0.769
0.000 0.000 0.421
0.000 0.000 0.579
0.000 0.500 0.373
0.000 0.500 0.627
0.001 0.501 0.083
0.001 0.999 0.938
0.250 0.250 0.172
0.250 0.250 0.301
0.250 0.250 0.699
0.250 0.250 0.828
0.499 0.501 0.938
0.499 0.999 0.083
0.500 0.000 0.373
0.500 0.000 0.627
0.500 0.500 0.421
0.500 0.500 0.579
0.501 0.001 0.917
0.501 0.499 0.062
0.750 0.750 0.172
0.750 0.750 0.301
0.750 0.750 0.699
0.750 0.750 0.828
0.999 0.001 0.062
0.999 0.499 0.917
0.250 0.750 0.500
0.750 0.250 0.500
```

## Properties
**Total DFT energy (no corrections)**: -4.52 eV per atom
**SG**: Cmme

La5Tb3Nd2 | PBE-GGA | optimized geometry

Geometry as POSCAR:
```
La5Tb3Nd2
1.0
5.552 -7.485 0.000
5.552 7.485 0.000
-5.538 0.000 8.587
La Tb Nd
10 6 4
Direct
0.017 0.983 0.750
0.123 0.381 0.752
0.224 0.776 0.750
0.381 0.123 0.252
0.475 0.525 0.250
0.525 0.475 0.750
0.619 0.877 0.748
0.776 0.224 0.250
0.877 0.619 0.248
0.983 0.017 0.250
0.224 0.476 0.445
0.269 0.731 0.250
0.476 0.224 0.945
0.524 0.776 0.055
0.731 0.269 0.750
0.776 0.524 0.555
0.028 0.284 0.061
0.284 0.028 0.561
0.716 0.972 0.439
0.972 0.716 0.939
```

## Properties
**Total DFT energy (no corrections)**: -4.65 eV per atom
**SG**: C2/c

LaTb6Nd2 | PBE-GGA | optimized geometry

Geometry as POSCAR:
```
LaTb6Nd2
1.0
-1.757 5.217 8.231
1.757 -5.217 8.231
1.757 5.217 -8.231
La Tb Nd
1 6 2
Direct
0.000 0.000 0.000
0.010 0.178 0.832
0.317 0.500 0.817
0.345 0.178 0.168
0.655 0.822 0.832
0.683 0.500 0.183
0.990 0.822 0.168
0.342 0.842 0.500
0.658 0.158 0.500
```

## Properties
**Total DFT energy (no corrections)**: -4.59 eV per atom
**SG**: Immm

Results for ΔE_f: 0.065 0.157 0.156 0.100 (in eV per atom, following the order of the records).
Results for DOS(E_F): 17.63 49.06 35.27 13.97 (in states/eV/cell, following the order of the records).